Material: LaSc2Sb
Method: DFT, PBE-GGA
State: relaxed

a = 10.7252 Å, b = 10.7252 Å, c = 10.7252 Å
α = 18.72°, β = 18.72°, γ = 18.72°
Last column: nearest neighbours and their distance in Å.
Positions (direct):
La 0.4965 0.4965 0.4965  3 Sb 3.39, 6 La 3.49, 3 Sc 3.57
Sb 0.7437 0.7437 0.7437  3 Sc 3.08, 3 La 3.39
Sc 0.0034 0.0034 0.0034  3 Sb 3.08, 3 Sc 3.24
Sc 0.2564 0.2564 0.2564  9 Sc 3.24-3.49, 3 La 3.57

## Properties
Energy, eV/cell: -22.42
DOS at the Fermi energy, states/eV/f.u.: 6.254
Energy relative to the elements, uncorrected, eV/f.u.: -0.70